[1]
Crystalline Tm3Ga6Co5 at its relaxed geometry. Source: Alexandria, functional GGA-PBE.

```
Tm3Ga6Co5
1.0
-1.8771 0.2725 -3.5783
-7.9246 -0.9595 4.0842
-0.7734 12.0052 1.3198
Tm Ga Co
6 12 10
Direct
0.0000 0.2488 0.6993
0.5000 0.7512 0.1993
0.5000 0.7512 0.8007
0.0000 0.2665 0.0000
0.5000 0.7335 0.5000
0.0000 0.2488 0.3007
0.0000 0.9823 0.8471
0.5000 0.0177 0.6529
0.5000 0.4113 0.8219
0.5000 0.5837 0.0000
0.0000 0.4163 0.5000
0.0000 0.5887 0.6781
0.0000 0.5887 0.3219
0.5000 0.9612 0.0000
0.0000 0.9823 0.1529
0.5000 0.4113 0.1781
0.0000 0.0388 0.5000
0.5000 0.0177 0.3471
0.0000 0.5460 0.8900
0.0000 0.8636 0.6556
0.0000 0.7794 0.0000
0.5000 0.4540 0.6100
0.5000 0.2206 0.5000
0.0000 0.5460 0.1100
0.5000 0.4540 0.3900
0.0000 0.8636 0.3444
0.5000 0.1364 0.8444
0.5000 0.1364 0.1556
```

Computed properties:
energy = -5.232 eV/atom
symmetry = Pmmn, No. 59
total magnetic moment = 0.03 μB per formula unit
formation energy = -0.438 eV per atom


[2]
Crystalline Dy3Pu2PaAs6 at its relaxed geometry. Source: Alexandria, functional GGA-PBE.

```
Dy3Pu2PaAs6
1.0
7.1442 -0.0003 0.0006
-3.5706 6.1879 0.0006
-1.1917 -2.0634 6.7237
Dy Pu Pa As
3 2 1 6
Direct
0.1679 0.8321 0.5000
0.8321 0.1679 0.5000
0.5000 0.5000 0.5000
0.3336 0.6664 0.0000
0.6664 0.3336 0.0000
0.0000 0.0000 0.0000
0.9172 0.5880 0.7512
0.7537 0.7537 0.2485
0.0828 0.4120 0.2488
0.5880 0.9172 0.7512
0.2463 0.2463 0.7515
0.4120 0.0828 0.2488
```

Computed properties:
energy = -7.954 eV/atom
symmetry = C2/m, No. 12
total magnetic moment = 11.11 μB per formula unit
formation energy = -1.299 eV per atom


[3]
Crystalline Pm2PdAuO5 at its relaxed geometry. Source: Alexandria, functional GGA-PBE.

```
Pm2PdAuO5
1.0
3.5310 0.0000 0.0000
-1.7655 6.7476 0.0000
0.0000 0.0000 11.0399
Pm Pd Au O
4 2 2 10
Direct
0.8557 0.7114 0.8174
0.1038 0.2076 0.7086
0.1443 0.2886 0.3174
0.8962 0.7924 0.2086
0.8013 0.6026 0.5392
0.1987 0.3974 0.0392
0.5322 0.0645 0.9777
0.4678 0.9355 0.4777
0.3336 0.6672 0.9619
0.6888 0.3775 0.7854
0.4842 0.9684 0.7949
0.2717 0.5435 0.6222
0.9406 0.8813 0.6165
0.6664 0.3328 0.4619
0.3112 0.6225 0.2854
0.5158 0.0316 0.2949
0.7283 0.4565 0.1222
0.0594 0.1187 0.1165
```

Computed properties:
energy = -6.463 eV/atom
symmetry = Cmc2_1, No. 36
total magnetic moment = 0.00 μB per formula unit
E_form (uncorrected) = -15.40 eV per formula unit


[4]
Crystalline Y2TlPt at its relaxed geometry. Source: Alexandria, functional GGA-PBE.

```
Y2TlPt
1.0
-2.6972 -2.8790 0.4755
0.7715 -3.6782 -1.2904
2.6174 -4.0303 6.9653
Pt Tl Y
1 1 2
Direct
0.2500 0.2500 0.2500
0.7500 0.7500 0.7500
0.9842 0.9842 0.0471
0.5158 0.5158 0.4529
```

Computed properties:
energy = -6.043 eV/atom
symmetry = C2/m, No. 12
energy above the most stable polymorph in this dataset = 0.35 eV per formula unit
total magnetic moment = 0.00 μB per formula unit
formation energy = -0.709 eV per atom


[5]
Crystalline YBi2Pb2 at its relaxed geometry. Source: Alexandria, functional GGA-PBE.

```
YBi2Pb2
1.0
-0.4471 1.4196 -8.2760
-8.3957 0.0662 0.4649
0.0772 4.4525 0.7596
Pb Y Bi
4 2 4
Direct
0.3610 0.8610 0.0000
0.8610 0.6390 0.0000
0.6390 0.1390 0.0000
0.1390 0.3610 0.0000
0.0000 0.0000 0.0000
0.5000 0.5000 0.0000
0.1666 0.6666 0.5000
0.6666 0.8334 0.5000
0.8334 0.3334 0.5000
0.3334 0.1666 0.5000
```

Computed properties:
energy = -4.388 eV/atom
symmetry = P4/mbm, No. 127
energy above the most stable polymorph in this dataset = 0.46 eV per formula unit
total magnetic moment = 0.00 μB per formula unit
formation energy = -0.060 eV per atom


[6]
Crystalline LiAlNi3 at its relaxed geometry. Source: Alexandria, functional GGA-PBE.

```
LiAlNi3
1.0
4.3038 0.0000 0.0000
0.0000 5.6370 0.0017
0.0000 -2.8155 4.8835
Li Al Ni
2 2 6
Direct
0.0000 0.0000 0.0000
0.5000 0.0000 0.0000
0.2500 0.3334 0.6666
0.7500 0.6666 0.3334
0.2500 0.8058 0.1942
0.7500 0.1942 0.8058
0.2500 0.8056 0.6118
0.7500 0.1944 0.3882
0.2500 0.3882 0.1944
0.7500 0.6118 0.8056
```

Computed properties:
energy = -4.475 eV/atom
symmetry = P6_3/mmc, No. 194
energy above the most stable polymorph in this dataset = 1.36 eV per formula unit
total magnetic moment = 0.00 μB per formula unit
formation energy = 0.125 eV per atom


[7]
Crystalline MnCuMo2 at its relaxed geometry. Source: Alexandria, functional GGA-PBE.

```
MnCuMo2
1.0
-3.9436 -3.3674 7.6563
-1.4986 -2.7968 8.6858
-3.4004 -0.8655 8.5557
Cu Mn Mo
1 1 2
Direct
0.4966 0.4966 0.4966
0.7533 0.7533 0.7533
0.0035 0.0035 0.0035
0.2466 0.2466 0.2466
```

Computed properties:
energy = -8.366 eV/atom
symmetry = R3m, No. 160
energy above the most stable polymorph in this dataset = 0.71 eV per formula unit
total magnetic moment = 2.82 μB per formula unit
formation energy = 0.366 eV per atom


[8]
Crystalline DyThNi2 at its relaxed geometry. Source: Alexandria, functional GGA-PBE.

```
DyThNi2
1.0
-2.3505 1.6818 -1.8734
0.5828 -3.2058 -3.6092
-3.5060 -2.7800 1.9032
Ni Th Dy
2 1 1
Direct
0.0000 0.0000 0.5000
0.0000 0.5000 0.0000
0.5000 0.5000 0.5000
0.5000 0.0000 0.0000
```

Computed properties:
energy = -6.235 eV/atom
symmetry = P4/mmm, No. 123
energy above the most stable polymorph in this dataset = 0.45 eV per formula unit
total magnetic moment = 0.00 μB per formula unit
formation energy = -0.338 eV per atom


[9]
Crystalline ErCuHg2 at its relaxed geometry. Source: Alexandria, functional GGA-PBE.

```
ErCuHg2
1.0
0.5963 4.5023 -0.6472
-0.5196 -0.5810 -4.5207
-8.0459 -0.7894 3.3538
Er Cu Hg
2 2 4
Direct
0.1403 0.1403 0.2805
0.8597 0.8597 0.7195
0.2500 0.7500 0.5000
0.7500 0.2500 0.5000
0.0000 0.5000 0.0000
0.5000 0.0000 0.0000
0.3436 0.3436 0.6872
0.6564 0.6564 0.3128
```

Computed properties:
energy = -2.567 eV/atom
symmetry = I4/mmm, No. 139
total magnetic moment = 0.00 μB per formula unit
formation energy = -0.251 eV per atom


[10]
Crystalline Al2InCl at its relaxed geometry. Source: Alexandria, functional GGA-PBE.

```
Al2InCl
1.0
5.9551 0.0177 0.0164
2.4225 5.4401 -0.0164
-3.2748 -4.1319 2.7689
Cl Al In
1 2 1
Direct
0.5495 0.5495 0.0000
0.9681 0.9681 0.0000
0.7451 0.2451 0.5000
0.2373 0.7373 0.5000
```

Computed properties:
energy = -3.052 eV/atom
symmetry = Imm2, No. 44
energy above the most stable polymorph in this dataset = 0.71 eV per formula unit
total magnetic moment = 0.00 μB per formula unit
E_form (uncorrected) = -0.14 eV per formula unit


[11]
Crystalline Si2PbAu at its relaxed geometry. Source: Alexandria, functional GGA-PBE.

```
Si2PbAu
1.0
5.8879 0.1086 0.0727
2.4608 5.3501 -0.0727
-3.3305 -4.0200 2.7262
Au Pb Si
1 1 2
Direct
0.7500 0.2500 0.5000
0.2500 0.7500 0.5000
0.9676 0.9676 0.0000
0.5324 0.5324 0.0000
```

Computed properties:
energy = -4.018 eV/atom
symmetry = Immm, No. 71
total magnetic moment = 0.00 μB per formula unit
E_form (uncorrected) = 1.76 eV per formula unit


[12]
Crystalline CrGa2Co at its relaxed geometry. Source: Alexandria, functional GGA-PBE.

```
CrGa2Co
1.0
-2.5357 0.3409 1.8079
-1.7799 -3.1131 -1.9095
1.5887 -2.5727 2.7134
Cr Co Ga
1 1 2
Direct
0.5000 0.5000 0.5000
0.5000 0.0000 0.0000
0.0000 0.0000 0.5000
0.0000 0.5000 0.0000
```

Computed properties:
energy = -5.759 eV/atom
symmetry = P4/mmm, No. 123
total magnetic moment = 2.57 μB per formula unit
formation energy = -0.063 eV per atom